No. 1
Er3RhAu after structural relaxation, computed with PBE.

Computed properties:
ΔE to the lowest computed polymorph ... 0.043 eV per atom
Calculated volume ... 125.5 Å³/f.u.
DFT total energy ... -55.72 eV/cell
D(E_F) ... 0.66 states/eV/atom
Space-group type ... Pmmn, No. 59

a = 4.1931 Å, b = 6.9335 Å, c = 8.6368 Å
α = 90.00°, β = 90.00°, γ = 90.00°
Element x y z (fractional)
Er 0.2500 0.0055 0.1638
Er 0.2500 0.2500 0.5619
Er 0.2500 0.4945 0.1638
Er 0.7500 0.5055 0.8362
Er 0.7500 0.7500 0.4381
Er 0.7500 0.9945 0.8362
Rh 0.2500 0.2500 0.8934
Rh 0.7500 0.7500 0.1066
Au 0.2500 0.7500 0.6675
Au 0.7500 0.2500 0.3325

***

No. 2
Er3RhAu after structural relaxation, computed with PBE.

Computed properties:
ΔE to the lowest computed polymorph ... 0.000 eV per atom
Calculated volume ... 122.9 Å³/f.u.
DFT total energy ... -112.29 eV/cell
D(E_F) ... 0.79 states/eV/atom
Space-group type ... P2_1/c, No. 14

a = 8.6915 Å, b = 7.1891 Å, c = 8.1132 Å
α = 90.00°, β = 104.20°, γ = 90.00°
Element x y z (fractional)
Er 0.0443 0.0031 0.2143
Er 0.0443 0.4969 0.7143
Er 0.2725 0.6470 0.0972
Er 0.2725 0.8530 0.5972
Er 0.3478 0.1815 0.9772
Er 0.3478 0.3185 0.4772
Er 0.6522 0.6815 0.5228
Er 0.6522 0.8185 0.0228
Er 0.7275 0.1470 0.4028
Er 0.7275 0.3530 0.9028
Er 0.9557 0.5031 0.2857
Er 0.9557 0.9969 0.7857
Rh 0.0643 0.1887 0.5206
Rh 0.0643 0.3113 0.0206
Rh 0.9357 0.6887 0.9794
Rh 0.9357 0.8113 0.4794
Au 0.4176 0.5433 0.8053
Au 0.4176 0.9567 0.3053
Au 0.5824 0.0433 0.6947
Au 0.5824 0.4567 0.1947

***

No. 3
Er8RhAu2 after structural relaxation, computed with PBE.

Computed properties:
ΔE to the lowest computed polymorph ... 0.000 eV per atom
Calculated volume ... 284.3 Å³/f.u.
DFT total energy ... -56.00 eV/cell
D(E_F) ... 0.83 states/eV/atom
Space-group type ... C2/m, No. 12

a = 9.0188 Å, b = 9.0188 Å, c = 6.7200 Å
α = 105.13°, β = 105.13°, γ = 32.71°
Element x y z (fractional)
Er 0.0292 0.0292 0.2865
Er 0.2022 0.2022 0.8145
Er 0.3397 0.3397 0.5311
Er 0.4105 0.4105 0.0616
Er 0.5895 0.5895 0.9384
Er 0.6603 0.6603 0.4689
Er 0.7978 0.7978 0.1855
Er 0.9708 0.9708 0.7135
Rh 0.5000 0.5000 0.5000
Au 0.1872 0.1872 0.2249
Au 0.8128 0.8128 0.7751

***

No. 4
Er8RhAu2 after structural relaxation, computed with PBE.

Computed properties:
ΔE to the lowest computed polymorph ... 0.118 eV per atom
Calculated volume ... 297.7 Å³/f.u.
DFT total energy ... -54.70 eV/cell
D(E_F) ... 1.04 states/eV/atom
Space-group type ... Cm, No. 8

a = 8.0805 Å, b = 8.0805 Å, c = 5.8255 Å
α = 102.43°, β = 102.43°, γ = 119.91°
Element x y z (fractional)
Er 0.0000 0.0000 0.0000
Er 0.0111 0.2483 0.5803
Er 0.1685 0.5555 0.2033
Er 0.2483 0.0111 0.5803
Er 0.4663 0.7067 0.8426
Er 0.5555 0.1685 0.2033
Er 0.7067 0.4663 0.8426
Er 0.7134 0.7134 0.4031
Rh 0.3567 0.3567 0.0452
Au 0.0504 0.6400 0.6826
Au 0.6400 0.0504 0.6826

***

No. 5
Er2RhAu2 after structural relaxation, computed with PBE.

Computed properties:
Calculated volume ... 116.0 Å³/f.u.
DFT total energy ... -53.60 eV/cell
D(E_F) ... 0.35 states/eV/atom
Space-group type ... Ibam, No. 72

a = 7.6127 Å, b = 7.6127 Å, c = 7.6127 Å
α = 132.04°, β = 68.76°, γ = 133.84°
Element x y z (fractional)
Er 0.1450 0.2473 0.3923
Er 0.3550 0.7473 0.1023
Er 0.6450 0.2527 0.8977
Er 0.8550 0.7527 0.6077
Rh 0.2500 0.7500 0.5000
Rh 0.7500 0.2500 0.5000
Au 0.1246 0.7789 0.9034
Au 0.3754 0.2789 0.6543
Au 0.6246 0.7211 0.3457
Au 0.8754 0.2211 0.0966

***

No. 6
Er5Rh4Au after structural relaxation, computed with PBE.

Computed properties:
Calculated volume ... 202.0 Å³/f.u.
DFT total energy ... -64.68 eV/cell
D(E_F) ... 0.75 states/eV/atom
Space-group type ... P4/mmm, No. 123

a = 3.4070 Å, b = 3.4070 Å, c = 17.4029 Å
α = 90.00°, β = 90.00°, γ = 90.00°
Element x y z (fractional)
Er 0.0000 0.0000 0.0000
Er 0.0000 0.0000 0.1953
Er 0.0000 0.0000 0.3897
Er 0.0000 0.0000 0.6103
Er 0.0000 0.0000 0.8047
Rh 0.5000 0.5000 0.0976
Rh 0.5000 0.5000 0.2939
Rh 0.5000 0.5000 0.7061
Rh 0.5000 0.5000 0.9024
Au 0.5000 0.5000 0.5000